No. 1
An optimized crystal structure of TlMo2Pb, computed with GGA-PBEsol.

a = 3.1102 Å, b = 3.1102 Å, c = 27.1385 Å
α = 90.00°, β = 90.00°, γ = 120.00°
Space group R-3m (No. 166, hexagonal axes)
Inequivalent atoms, fractional coordinates:
Tl1 0.0000 0.0000 0.0000
Mo1 0.0000 0.0000 0.2495
Pb1 0.0000 0.0000 0.5000

Calculated values
energy relative to the lowest polymorph listed for this composition	0.001	eV per atom
electronic total energy	-6.700	eV/atom

No. 2
An optimized crystal structure of BaSi2Tc, computed with GGA-PBEsol.

a = 3.2645 Å, b = 3.2645 Å, c = 7.3696 Å
α = 90.00°, β = 90.00°, γ = 90.00°
Space group P4mm (No. 99)
Inequivalent atoms, fractional coordinates:
Ba1 0.0000 0.0000 0.0000
Si1 0.0000 0.0000 0.5317
Si2 0.5000 0.5000 0.3314
Tc1 0.5000 0.5000 0.6494

Calculated values
energy relative to the lowest polymorph listed for this composition	0.000	eV per atom
electronic total energy	-6.243	eV/atom

No. 3
An optimized crystal structure of Mn2CoOs, computed with GGA-PBEsol.

a = 3.5596 Å, b = 3.5596 Å, c = 3.5469 Å
α = 90.00°, β = 90.00°, γ = 90.00°
Space group P4/mmm (No. 123)
Inequivalent atoms, fractional coordinates:
Mn1 0.0000 0.5000 0.0000
Co1 0.0000 0.0000 0.5000
Os1 0.5000 0.5000 0.5000

Calculated values
electronic total energy	-9.825	eV/atom

No. 4
An optimized crystal structure of Ca2TcW, computed with GGA-PBEsol.

a = 2.9444 Å, b = 2.9444 Å, c = 30.7043 Å
α = 90.00°, β = 90.00°, γ = 120.00°
Space group R-3m (No. 166, hexagonal axes)
Inequivalent atoms, fractional coordinates:
Ca1 0.0000 0.0000 0.2476
Tc1 0.0000 0.0000 0.5000
W1 0.0000 0.0000 0.0000

Calculated values
energy relative to the lowest polymorph listed for this composition	0.663	eV per atom
electronic total energy	-6.323	eV/atom

No. 5
An optimized crystal structure of TcHgPtS2, computed with GGA-PBEsol.

a = 4.7717 Å, b = 4.7717 Å, c = 5.0238 Å
α = 90.00°, β = 90.00°, γ = 90.00°
Space group P4/mmm (No. 123)
Inequivalent atoms, fractional coordinates:
Tc1 0.0000 0.0000 0.0000
Hg1 0.5000 0.5000 0.5000
Pt1 0.5000 0.5000 0.0000
S1 0.0000 0.5000 0.5000

Calculated values
electronic total energy	-3.856	eV/atom

No. 6
An optimized crystal structure of Li2Ti3CrO8, computed with GGA-PBEsol.

a = 5.8321 Å, b = 5.8321 Å, c = 9.4860 Å
α = 90.00°, β = 90.00°, γ = 120.00°
Space group P6_3mc (No. 186)
Inequivalent atoms, fractional coordinates:
Li1 0.0000 0.0000 0.0000
Li2 0.3333 0.6667 0.1004
Ti1 0.1689 0.3379 0.7824
Cr1 0.3333 0.6667 0.5134
O1 0.0000 0.0000 0.1835
O2 0.0410 0.5205 0.6549
O3 0.1657 0.3313 0.3953
O4 0.3333 0.6667 0.8937

Calculated values
energy relative to the lowest polymorph listed for this composition	0.048	eV per atom
electronic total energy	-8.448	eV/atom

No. 7
An optimized crystal structure of CaLaAu2, computed with GGA-PBEsol.

a = 4.2724 Å, b = 4.2724 Å, c = 20.8358 Å
α = 90.00°, β = 90.00°, γ = 120.00°
Space group R-3m (No. 166, hexagonal axes)
Inequivalent atoms, fractional coordinates:
Ca1 0.0000 0.0000 0.0000
La1 0.0000 0.0000 0.5000
Au1 0.0000 0.0000 0.2514

Calculated values
electronic total energy	-4.495	eV/atom

No. 8
An optimized crystal structure of NaHf3Pt, computed with GGA-PBEsol.

a = 4.7224 Å, b = 4.7224 Å, c = 4.7224 Å
α = 90.00°, β = 90.00°, γ = 90.00°
Space group Pm-3m (No. 221)
Inequivalent atoms, fractional coordinates:
Na1 0.0000 0.0000 0.0000
Hf1 0.0000 0.0000 0.5000
Pt1 0.5000 0.5000 0.5000

Calculated values
electronic total energy	-6.330	eV/atom

No. 9
An optimized crystal structure of YRePt4, computed with GGA-PBEsol.

a = 7.3993 Å, b = 7.3993 Å, c = 7.3993 Å
α = 90.00°, β = 90.00°, γ = 90.00°
Space group F-43m (No. 216)
Inequivalent atoms, fractional coordinates:
Y1 0.0000 0.0000 0.0000
Re1 0.2500 0.2500 0.7500
Pt1 0.1242 0.1242 0.3758

Calculated values
electronic total energy	-8.183	eV/atom

No. 10
An optimized crystal structure of PbN2Cl, computed with GGA-PBEsol.

a = 3.1535 Å, b = 3.1535 Å, c = 21.0514 Å
α = 90.00°, β = 90.00°, γ = 120.00°
Space group R-3m (No. 166, hexagonal axes)
Inequivalent atoms, fractional coordinates:
Pb1 0.0000 0.0000 0.0000
N1 0.0000 0.0000 0.1156
Cl1 0.0000 0.0000 0.5000

Calculated values
energy relative to the lowest polymorph listed for this composition	0.031	eV per atom
electronic total energy	-3.857	eV/atom

No. 11
An optimized crystal structure of RbCdF3, computed with GGA-PBEsol.

a = 4.4180 Å, b = 4.4180 Å, c = 4.4180 Å
α = 90.00°, β = 90.00°, γ = 90.00°
Space group Pm-3m (No. 221)
Inequivalent atoms, fractional coordinates:
Rb1 0.0000 0.0000 0.0000
Cd1 0.5000 0.5000 0.5000
F1 0.0000 0.5000 0.5000

Calculated values
electronic total energy	-4.036	eV/atom

No. 12
An optimized crystal structure of VGaNi6, computed with GGA-PBEsol.

a = 3.5116 Å, b = 3.5116 Å, c = 7.0172 Å
α = 90.00°, β = 90.00°, γ = 90.00°
Space group P4/mmm (No. 123)
Inequivalent atoms, fractional coordinates:
V1 0.0000 0.0000 0.0000
Ga1 0.0000 0.0000 0.5000
Ni1 0.0000 0.5000 0.2434
Ni2 0.5000 0.5000 0.0000
Ni3 0.5000 0.5000 0.5000

Calculated values
electronic total energy	-6.574	eV/atom

No. 13
An optimized crystal structure of ScInNi4, computed with GGA-PBEsol.

a = 6.7998 Å, b = 6.7998 Å, c = 6.7998 Å
α = 90.00°, β = 90.00°, γ = 90.00°
Space group F-43m (No. 216)
Inequivalent atoms, fractional coordinates:
Sc1 0.0000 0.0000 0.0000
In1 0.2500 0.2500 0.2500
Ni1 0.1246 0.1246 0.6246

Calculated values
electronic total energy	-6.141	eV/atom